Record 1
A relaxed structure of ZrHg3As. Source: Alexandria, functional GGA-PBE.

Results
Final energy (eV/atom): -1.95
Energy relative to the elements (meV/atom): 875
E above lowest polymorph (eV/atom): 0.0982

Unit cell a=5.521 b=5.521 c=5.521 alpha=90.00 beta=90.00 gamma=90.00
Sites, in units of the cell vectors:
Zr (0.000, 0.000, 0.000)
Hg (0.000, 0.000, 0.500)
Hg (0.000, 0.500, 0.000)
Hg (0.500, 0.000, 0.000)
As (0.500, 0.500, 0.500)

---

Record 2
A relaxed structure of Ho3As. Source: Alexandria, functional GGA-PBE.

Results
Final energy (eV/atom): -5.15
Energy relative to the elements (meV/atom): -555
E above lowest polymorph (eV/atom): 0.0000

Unit cell a=3.752 b=5.097 c=6.417 alpha=113.40 beta=107.00 gamma=90.00
Sites, in units of the cell vectors:
As (0.000, 0.917, 0.000)
Ho (0.296, 0.712, 0.592)
Ho (0.500, 0.417, 0.000)
Ho (0.704, 0.120, 0.408)

---

Record 3
A relaxed structure of Ho3As. Source: Alexandria, functional GGA-PBE.

Results
Final energy (eV/atom): -5.03
Energy relative to the elements (meV/atom): -436
E above lowest polymorph (eV/atom): 0.1189

Unit cell a=3.953 b=3.953 c=7.569 alpha=90.00 beta=90.00 gamma=90.00
Sites, in units of the cell vectors:
Ho (0.500, 0.000, 0.726)
Ho (0.000, 0.500, 0.440)
Ho (0.500, 0.500, 0.083)
As (0.000, 0.000, 0.083)

---

Question: Which of these has the lowest energy relative to the elements?
Answer: number 2